Record 1
Pm3PuS4 | PBE-GGA | relaxed

Output
For the uncorrected formation energy, the calculation gives -15.84 eV/f.u. The volume is 183.40 Å³/f.u.

Cell lengths 5.6815, 5.6815, 5.6815 Å; angles 90.00, 90.00, 90.00 degrees
With the nearest neighbours (Å) after each atom.
Space group Pm-3m (No. 221)
Inequivalent atoms, fractional coordinates:
Pm 0.0000 0.0000 0.5000 [3 per cell]  6 S 2.84
Pu 0.5000 0.5000 0.5000 [1 per cell]  6 S 2.84
S 0.0000 0.0000 0.0000 [1 per cell]  6 Pm 2.84
S 0.0000 0.5000 0.5000 [3 per cell]  2 Pu 2.84, 4 Pm 2.84



Record 2
IrRu | PBE-GGA | relaxed

Output
Its formation energy is 1227 meV per atom. The volume is 49.24 Å³/f.u.

Cell lengths 10.4333, 10.4333, 3.6187 Å; angles 90.00, 90.00, 90.00 degrees
With the nearest neighbours (Å) after each atom.
Space group I4/m (No. 87)
Inequivalent atoms, fractional coordinates:
Ir 0.1125 0.2766 0.0000 [8 per cell]  4 Ru 2.38-2.42
Ru 0.1185 0.7183 0.0000 [8 per cell]  4 Ir 2.38-2.42



Record 3
BeNi2Cl | PBE-GGA | relaxed

Output
For the uncorrected formation energy, the calculation gives 0.09 eV/f.u. The volume is 54.76 Å³/f.u.

Cell lengths 3.1596, 2.9049, 5.9663 Å; angles 90.00, 90.17, 90.00 degrees
With the nearest neighbours (Å) after each atom.
Space group Pm (No. 6)
Inequivalent atoms, fractional coordinates:
Be 0.0000 0.0000 0.0000 [1 per cell]  2 Cl 2.09, 1 Ni 2.17
Ni 0.4984 0.5000 0.8126 [1 per cell]  4 Ni 2.39, 4 Be 2.42
Ni 0.9971 0.0000 0.6355 [1 per cell]  1 Be 2.17, 4 Ni 2.39
Cl 0.0030 0.5000 0.2511 [1 per cell]  2 Be 2.09



What is the formula in the second record?
IrRu



What is the formula in the third record?
BeNi2Cl